# TaHgOs2, optimized geometry, DFT PBE-GGA
# E in eV per atom: -8.187
# Total moment in μB/atom: 0.000
# E_form in kJ per mole of atoms: 45.04
data_TaHgOs2
_symmetry_space_group_name_H-M 'P 1'
_symmetry_Int_Tables_number 1
_cell_length_a 4.209
_cell_length_b 2.874
_cell_length_c 5.901
_cell_angle_alpha 72.09
_cell_angle_beta 90.00
_cell_angle_gamma 90.00
loop_
_symmetry_equiv_pos_as_xyz
'x,y,z'
loop_
_atom_site_label
_atom_site_type_symbol
_atom_site_fract_x
_atom_site_fract_y
_atom_site_fract_z
_atom_site_occupancy
Hg1 Hg 0.500 0.750 0.750 1
Os1 Os 0.000 0.087 0.021 1
Os2 Os 0.000 0.413 0.479 1
Ta1 Ta 0.500 0.250 0.250 1

# SrLi2Mn, optimized geometry, DFT PBE-GGA
# E in eV per atom: -3.169
# E above lowest polymorph in eV/atom: 0.143
# Total moment in μB/atom: 0.971
# E_form in kJ per mole of atoms: 48.31
data_SrLi2Mn
_symmetry_space_group_name_H-M 'P 1'
_symmetry_Int_Tables_number 1
_cell_length_a 4.508
_cell_length_b 4.508
_cell_length_c 11.208
_cell_angle_alpha 78.40
_cell_angle_beta 78.40
_cell_angle_gamma 90.00
loop_
_symmetry_equiv_pos_as_xyz
'x,y,z'
loop_
_atom_site_label
_atom_site_type_symbol
_atom_site_fract_x
_atom_site_fract_y
_atom_site_fract_z
_atom_site_occupancy
Sr1 Sr 0.000 0.000 0.000 1
Sr2 Sr 0.750 0.250 0.500 1
Mn1 Mn 0.500 0.500 0.000 1
Mn2 Mn 0.250 0.750 0.500 1
Li1 Li 0.545 0.125 0.250 1
Li2 Li 0.205 0.625 0.250 1
Li3 Li 0.375 0.455 0.750 1
Li4 Li 0.875 0.795 0.750 1

# Tc2Ge2Pb, optimized geometry, DFT PBE-GGA
# E in eV per atom: -6.532
# E above lowest polymorph in eV/atom: 0.000
# Total moment in μB/atom: 0.000
# E_form in kJ per mole of atoms: 19.60
data_Tc2Ge2Pb
_symmetry_space_group_name_H-M 'P 1'
_symmetry_Int_Tables_number 1
_cell_length_a 7.371
_cell_length_b 7.371
_cell_length_c 3.163
_cell_angle_alpha 90.00
_cell_angle_beta 90.00
_cell_angle_gamma 90.00
loop_
_symmetry_equiv_pos_as_xyz
'x,y,z'
loop_
_atom_site_label
_atom_site_type_symbol
_atom_site_fract_x
_atom_site_fract_y
_atom_site_fract_z
_atom_site_occupancy
Pb1 Pb 0.000 0.000 0.000 1
Pb2 Pb 0.500 0.500 0.000 1
Ge1 Ge 0.140 0.640 0.500 1
Ge2 Ge 0.640 0.860 0.500 1
Ge3 Ge 0.860 0.360 0.500 1
Ge4 Ge 0.360 0.140 0.500 1
Tc1 Tc 0.350 0.850 0.000 1
Tc2 Tc 0.850 0.650 0.000 1
Tc3 Tc 0.650 0.150 0.000 1
Tc4 Tc 0.150 0.350 0.000 1

# TmSc2Rh3, optimized geometry, DFT PBE-GGA
# E in eV per atom: -7.524
# Total moment in μB/atom: 0.000
# E_form in kJ per mole of atoms: -95.77
data_TmSc2Rh3
_symmetry_space_group_name_H-M 'P 1'
_symmetry_Int_Tables_number 1
_cell_length_a 4.639
_cell_length_b 4.639
_cell_length_c 5.686
_cell_angle_alpha 90.00
_cell_angle_beta 90.00
_cell_angle_gamma 120.00
loop_
_symmetry_equiv_pos_as_xyz
'x,y,z'
loop_
_atom_site_label
_atom_site_type_symbol
_atom_site_fract_x
_atom_site_fract_y
_atom_site_fract_z
_atom_site_occupancy
Tm1 Tm 0.000 0.000 0.000 1
Sc1 Sc 0.667 0.333 0.339 1
Sc2 Sc 0.333 0.667 0.661 1
Rh1 Rh 0.000 0.000 0.500 1
Rh2 Rh 0.667 0.333 0.825 1
Rh3 Rh 0.333 0.667 0.175 1

# KCd4Cu, optimized geometry, DFT PBE-GGA
# E in eV per atom: -1.301
# Total moment in μB/atom: 0.000
# E_form in kJ per mole of atoms: 16.84
data_KCd4Cu
_symmetry_space_group_name_H-M 'P 1'
_symmetry_Int_Tables_number 1
_cell_length_a 5.955
_cell_length_b 5.955
_cell_length_c 5.955
_cell_angle_alpha 60.00
_cell_angle_beta 60.00
_cell_angle_gamma 60.00
loop_
_symmetry_equiv_pos_as_xyz
'x,y,z'
loop_
_atom_site_label
_atom_site_type_symbol
_atom_site_fract_x
_atom_site_fract_y
_atom_site_fract_z
_atom_site_occupancy
K1 K 0.000 0.000 0.000 1
Cd1 Cd 0.872 0.376 0.376 1
Cd2 Cd 0.376 0.376 0.872 1
Cd3 Cd 0.376 0.872 0.376 1
Cd4 Cd 0.376 0.376 0.376 1
Cu1 Cu 0.750 0.750 0.750 1

# CoAg2Te, optimized geometry, DFT PBE-GGA
# E in eV per atom: -3.696
# Formation energy (no corrections) in eV per atom: 0.29
# Total moment in μB/atom: 0.000
data_CoAg2Te
_symmetry_space_group_name_H-M 'P 1'
_symmetry_Int_Tables_number 1
_cell_length_a 8.345
_cell_length_b 8.345
_cell_length_c 8.345
_cell_angle_alpha 23.15
_cell_angle_beta 23.15
_cell_angle_gamma 23.15
loop_
_symmetry_equiv_pos_as_xyz
'x,y,z'
loop_
_atom_site_label
_atom_site_type_symbol
_atom_site_fract_x
_atom_site_fract_y
_atom_site_fract_z
_atom_site_occupancy
Ag1 Ag 0.994 0.994 0.994 1
Ag2 Ag 0.240 0.240 0.240 1
Co1 Co 0.497 0.497 0.497 1
Te1 Te 0.769 0.769 0.769 1